No. 1
A geometry-optimized LiCd2PdS structure, computed with GGA-PBE.

The structure belongs to space group P4/mmm (No. 123); the cell edges are 5.2840, 5.2840 and 4.5486 Å and the angles 90.00°, 90.00° and 90.00°. The inequivalent atoms are Li at (0.0000, 0.0000, 0.0000), Cd at (0.0000, 0.5000, 0.5000), Pd at (0.5000, 0.5000, 0.0000) and S at (0.5000, 0.5000, 0.5000).

Its crystal system is tetragonal.


No. 2
A geometry-optimized LiCd2Si2Pd5 structure, computed with GGA-PBE.

The structure belongs to space group P4/mbm (No. 127); the cell edges are 10.0220, 10.0220 and 3.1881 Å and the angles 90.00°, 90.00° and 90.00°. The inequivalent atoms are Li at (0.0000, 0.0000, 0.0000), Cd at (0.1776, 0.3224, 0.0000), Si at (0.1322, 0.6322, 0.0000), Pd at (0.0000, 0.5000, 0.5000) and Pd at (0.0501, 0.7921, 0.5000).

Its crystal system is tetragonal.


No. 3
A geometry-optimized Li2CdSi2Pd2 structure, computed with GGA-PBE.

The structure belongs to space group C2/m (No. 12); the cell edges are 7.2772, 4.2160 and 7.2571 Å and the angles 90.00°, 109.69° and 90.00°. The inequivalent atoms are Li at (0.1408, 0.0000, 0.4207), Cd at (0.0000, 0.0000, 0.0000), Si at (0.0643, 0.5000, 0.6962) and Pd at (0.2372, 0.5000, 0.2104).

Its crystal system is monoclinic.


Record order is preserved below.
Raw formation energy: 0.13; -0.43; -0.42 eV/atom